1.
{
  "formula": "LiTaAu2",
  "functional": "PBE-GGA",
  "state": "relaxed",
  "cell": [[2.790, 0.011, 0.000], [-0.861, 2.654, 0.000], [0.000, 0.000, 9.465]],
  "species": ["Au", "Au", "Li", "Ta"],
  "fractional_positions": [[0.000, 0.000, 0.998], [0.500, 0.500, 0.265], [0.000, 0.000, 0.485], [0.500, 0.500, 0.753]],
  "total_energy_ev_per_atom": -5.052,
  "delta_e_f_ev_per_atom": 0.028
}

2.
{
  "formula": "Li2TaAu8",
  "functional": "PBE-GGA",
  "state": "relaxed",
  "cell": [[4.728, 0.115, -1.349], [0.016, 4.966, -0.790], [-1.273, 0.101, 8.502]],
  "species": ["Li", "Li", "Ta", "Au", "Au", "Au", "Au", "Au", "Au", "Au", "Au"],
  "fractional_positions": [[0.164, 0.807, 0.274], [0.836, 0.193, 0.726], [0.500, 0.000, 0.000], [0.604, 0.551, 0.178], [0.300, 0.916, 0.647], [0.244, 0.358, 0.462], [0.056, 0.255, 0.094], [0.756, 0.642, 0.538], [0.700, 0.084, 0.353], [0.396, 0.449, 0.822], [0.944, 0.745, 0.906]],
  "total_energy_ev_per_atom": -4.045,
  "delta_e_f_ev_per_atom": -0.236
}

3.
{
  "formula": "LiTaAu",
  "functional": "PBE-GGA",
  "state": "relaxed",
  "cell": [[-1.891, -5.079, 3.600], [1.849, 0.754, 2.035], [-6.978, 9.646, 2.768]],
  "species": ["Li", "Li", "Li", "Li", "Ta", "Ta", "Ta", "Ta", "Au", "Au", "Au", "Au"],
  "fractional_positions": [[0.331, 0.000, 0.650], [0.669, 0.000, 0.350], [0.331, 0.500, 0.150], [0.669, 0.500, 0.850], [0.856, 0.000, 0.663], [0.144, 0.000, 0.337], [0.856, 0.500, 0.163], [0.144, 0.500, 0.837], [0.000, 0.000, 0.000], [0.000, 0.500, 0.500], [0.500, 0.500, 0.500], [0.500, 0.000, 0.000]],
  "total_energy_ev_per_atom": -5.731,
  "delta_e_f_ev_per_atom": -0.050,
  "polymorph_energy_ev_per_atom": 0.021
}

4.
{
  "formula": "LiTa2Au",
  "functional": "PBE-GGA",
  "state": "relaxed",
  "cell": [[5.529, 0.004, 0.008], [2.877, 4.721, -0.008], [-3.800, -3.080, 2.578]],
  "species": ["Au", "Li", "Ta", "Ta"],
  "fractional_positions": [[0.750, 0.250, 0.500], [0.250, 0.750, 0.500], [0.999, 0.999, 0.000], [0.501, 0.501, 0.000]],
  "total_energy_ev_per_atom": -7.166,
  "delta_e_f_ev_per_atom": 0.058,
  "polymorph_energy_ev_per_atom": 0.059
}